Record 1
# HfTaFeTc GGA-PBE optimized geometry
data_HfTaFeTc
_symmetry_space_group_name_H-M 'P 1'
_symmetry_Int_Tables_number 1
_symmetry_space_group_name_Hall 'P 1'
_cell_length_a 3.174
_cell_length_b 3.174
_cell_length_c 6.302
_cell_angle_alpha 90.00
_cell_angle_beta 90.00
_cell_angle_gamma 90.00
loop_
_atom_site_label
_atom_site_fract_x
_atom_site_fract_y
_atom_site_fract_z
Fe1 0.500 0.500 0.116
Hf1 0.000 0.000 0.863
Ta1 0.000 0.000 0.353
Tc1 0.500 0.500 0.597
# - E_form (kJ/mol of formula units) = -148
# - relative energy among the computed polymorphs (eV per atom) = 0.000
# - SG = No. 99

=====

Record 2
# HfTaFeTc GGA-PBE optimized geometry
data_HfTaFeTc
_symmetry_space_group_name_H-M 'P 1'
_symmetry_Int_Tables_number 1
_symmetry_space_group_name_Hall 'P 1'
_cell_length_a 4.472
_cell_length_b 4.472
_cell_length_c 4.472
_cell_angle_alpha 60.00
_cell_angle_beta 60.00
_cell_angle_gamma 60.00
loop_
_atom_site_label
_atom_site_fract_x
_atom_site_fract_y
_atom_site_fract_z
Hf1 0.500 0.500 0.500
Tc1 0.750 0.750 0.750
Ta1 0.000 0.000 0.000
Fe1 0.250 0.250 0.250
# - E_form (kJ/mol of formula units) = -146
# - relative energy among the computed polymorphs (eV per atom) = 0.005
# - SG = No. 216

=====

Record 3
# HfZrTaFe2 GGA-PBE optimized geometry
data_HfZrTaFe2
_symmetry_space_group_name_H-M 'P 1'
_symmetry_Int_Tables_number 1
_symmetry_space_group_name_Hall 'P 1'
_cell_length_a 4.457
_cell_length_b 4.956
_cell_length_c 4.457
_cell_angle_alpha 90.00
_cell_angle_beta 90.00
_cell_angle_gamma 90.00
loop_
_atom_site_label
_atom_site_fract_x
_atom_site_fract_y
_atom_site_fract_z
Fe1 0.000 0.000 0.500
Hf1 0.000 0.000 0.000
Fe2 0.500 0.000 0.000
Ta1 0.000 0.500 0.000
Zr1 0.500 0.500 0.500
# - E_form (kJ/mol of formula units) = 663
# - SG = No. 123

=====

Record 4
# Tb2HfFe9 GGA-PBE optimized geometry
data_Tb2HfFe9
_symmetry_space_group_name_H-M 'P 1'
_symmetry_Int_Tables_number 1
_symmetry_space_group_name_Hall 'P 1'
_cell_length_a 5.000
_cell_length_b 5.000
_cell_length_c 16.274
_cell_angle_alpha 90.00
_cell_angle_beta 90.00
_cell_angle_gamma 120.00
loop_
_atom_site_label
_atom_site_fract_x
_atom_site_fract_y
_atom_site_fract_z
Fe1 0.000 0.000 0.000
Fe2 0.833 0.667 0.630
Fe3 0.000 0.000 0.250
Tb1 0.333 0.667 0.961
Fe4 0.833 0.167 0.630
Tb2 0.333 0.667 0.539
Fe5 0.167 0.833 0.370
Fe6 0.333 0.667 0.250
Fe7 0.167 0.333 0.370
Fe8 0.000 0.000 0.750
Fe9 0.333 0.167 0.630
Fe10 0.667 0.333 0.750
Fe11 0.167 0.333 0.130
Fe12 0.667 0.833 0.130
Tb3 0.667 0.333 0.461
Fe13 0.833 0.167 0.870
Fe14 0.333 0.167 0.870
Hf1 0.667 0.333 0.250
Fe15 0.167 0.833 0.130
Hf2 0.333 0.667 0.750
Fe16 0.000 0.000 0.500
Fe17 0.667 0.833 0.370
Tb4 0.667 0.333 0.039
Fe18 0.833 0.667 0.870
# - E_form (kJ/mol of formula units) = -77
# - SG = No. 194

=====

Record 5
# HfFeTc3 GGA-PBE optimized geometry
data_HfFeTc3
_symmetry_space_group_name_H-M 'P 1'
_symmetry_Int_Tables_number 1
_symmetry_space_group_name_Hall 'P 1'
_cell_length_a 4.416
_cell_length_b 4.416
_cell_length_c 4.416
_cell_angle_alpha 90.00
_cell_angle_beta 90.00
_cell_angle_gamma 90.00
loop_
_atom_site_label
_atom_site_fract_x
_atom_site_fract_y
_atom_site_fract_z
Tc1 0.000 0.500 0.000
Tc2 0.000 0.000 0.500
Fe1 0.000 0.000 0.000
Hf1 0.500 0.500 0.500
Tc3 0.500 0.000 0.000
# - E_form (kJ/mol of formula units) = 362
# - relative energy among the computed polymorphs (eV per atom) = 0.000
# - SG = No. 221

=====

Record 6
# Hf3Fe2Tc GGA-PBE optimized geometry
data_Hf3Fe2Tc
_symmetry_space_group_name_H-M 'P 1'
_symmetry_Int_Tables_number 1
_symmetry_space_group_name_Hall 'P 1'
_cell_length_a 3.184
_cell_length_b 3.184
_cell_length_c 9.529
_cell_angle_alpha 90.00
_cell_angle_beta 90.00
_cell_angle_gamma 90.00
loop_
_atom_site_label
_atom_site_fract_x
_atom_site_fract_y
_atom_site_fract_z
Fe1 0.500 0.500 0.161
Tc1 0.500 0.500 0.500
Hf1 0.000 0.000 0.000
Hf2 0.000 0.000 0.671
Fe2 0.500 0.500 0.839
Hf3 0.000 0.000 0.329
# - E_form (kJ/mol of formula units) = -218
# - SG = No. 123

=====

Record 7
# Hf5Fe4Tc GGA-PBE optimized geometry
data_Hf5Fe4Tc
_symmetry_space_group_name_H-M 'P 1'
_symmetry_Int_Tables_number 1
_symmetry_space_group_name_Hall 'P 1'
_cell_length_a 3.163
_cell_length_b 3.163
_cell_length_c 15.826
_cell_angle_alpha 90.00
_cell_angle_beta 90.00
_cell_angle_gamma 90.00
loop_
_atom_site_label
_atom_site_fract_x
_atom_site_fract_y
_atom_site_fract_z
Fe1 0.000 0.000 0.206
Hf1 0.500 0.500 0.897
Fe2 0.000 0.000 0.402
Fe3 0.000 0.000 0.598
Hf2 0.500 0.500 0.500
Tc1 0.000 0.000 0.000
Fe4 0.000 0.000 0.794
Hf3 0.500 0.500 0.103
Hf4 0.500 0.500 0.698
Hf5 0.500 0.500 0.302
# - E_form (kJ/mol of formula units) = -346
# - SG = No. 123

=====

Record 8
# HfFeTc GGA-PBE optimized geometry
data_HfFeTc
_symmetry_space_group_name_H-M 'P 1'
_symmetry_Int_Tables_number 1
_symmetry_space_group_name_Hall 'P 1'
_cell_length_a 3.226
_cell_length_b 4.369
_cell_length_c 6.845
_cell_angle_alpha 90.00
_cell_angle_beta 103.63
_cell_angle_gamma 90.00
loop_
_atom_site_label
_atom_site_fract_x
_atom_site_fract_y
_atom_site_fract_z
Fe1 0.243 0.250 0.486
Tc1 0.592 0.250 0.184
Fe2 0.757 0.750 0.514
Hf1 0.911 0.250 0.823
Tc2 0.408 0.750 0.816
Hf2 0.089 0.750 0.177
# - E_form (kJ/mol of formula units) = -60
# - relative energy among the computed polymorphs (eV per atom) = 0.109
# - SG = No. 63

=====

Record 9
# Hf4Fe2Tc GGA-PBE optimized geometry
data_Hf4Fe2Tc
_symmetry_space_group_name_H-M 'P 1'
_symmetry_Int_Tables_number 1
_symmetry_space_group_name_Hall 'P 1'
_cell_length_a 5.474
_cell_length_b 5.474
_cell_length_c 5.474
_cell_angle_alpha 110.12
_cell_angle_beta 109.15
_cell_angle_gamma 109.15
loop_
_atom_site_label
_atom_site_fract_x
_atom_site_fract_y
_atom_site_fract_z
Fe1 0.500 0.500 0.000
Hf1 0.000 0.000 0.500
Fe2 0.500 0.000 0.500
Tc1 0.000 0.000 0.000
Hf2 0.000 0.500 0.000
Hf3 0.500 0.500 0.500
Hf4 0.500 0.000 0.000
# - E_form (kJ/mol of formula units) = -119
# - SG = No. 139

=====

Record 10
# HfFe8Tc3 GGA-PBE optimized geometry
data_HfFe8Tc3
_symmetry_space_group_name_H-M 'P 1'
_symmetry_Int_Tables_number 1
_symmetry_space_group_name_Hall 'P 1'
_cell_length_a 4.688
_cell_length_b 4.688
_cell_length_c 7.785
_cell_angle_alpha 90.00
_cell_angle_beta 90.00
_cell_angle_gamma 120.00
loop_
_atom_site_label
_atom_site_fract_x
_atom_site_fract_y
_atom_site_fract_z
Tc1 0.000 0.000 0.943
Fe1 0.993 0.497 0.756
Tc2 0.667 0.333 0.414
Fe2 0.503 0.007 0.756
Tc3 0.667 0.333 0.064
Fe3 0.333 0.667 0.002
Fe4 0.503 0.497 0.756
Fe5 0.673 0.837 0.248
Fe6 0.163 0.327 0.248
Fe7 0.163 0.837 0.248
Hf1 0.000 0.000 0.566
Fe8 0.333 0.667 0.500
# - E_form (kJ/mol of formula units) = -63
# - SG = No. 156

=====

Record 11
# Hf2Fe2Tc GGA-PBE optimized geometry
data_Hf2Fe2Tc
_symmetry_space_group_name_H-M 'P 1'
_symmetry_Int_Tables_number 1
_symmetry_space_group_name_Hall 'P 1'
_cell_length_a 6.248
_cell_length_b 6.248
_cell_length_c 4.086
_cell_angle_alpha 90.00
_cell_angle_beta 90.00
_cell_angle_gamma 90.00
loop_
_atom_site_label
_atom_site_fract_x
_atom_site_fract_y
_atom_site_fract_z
Tc1 0.500 0.500 0.000
Hf1 0.319 0.181 0.500
Hf2 0.681 0.819 0.500
Fe1 0.876 0.624 0.000
Fe2 0.124 0.376 0.000
Hf3 0.181 0.681 0.500
Tc2 0.000 0.000 0.000
Hf4 0.819 0.319 0.500
Fe3 0.624 0.124 0.000
Fe4 0.376 0.876 0.000
# - E_form (kJ/mol of formula units) = -65
# - SG = No. 127

=====

Record 12
# Hf4FeTc GGA-PBE optimized geometry
data_Hf4FeTc
_symmetry_space_group_name_H-M 'P 1'
_symmetry_Int_Tables_number 1
_symmetry_space_group_name_Hall 'P 1'
_cell_length_a 3.259
_cell_length_b 3.259
_cell_length_c 10.400
_cell_angle_alpha 90.00
_cell_angle_beta 90.00
_cell_angle_gamma 90.00
loop_
_atom_site_label
_atom_site_fract_x
_atom_site_fract_y
_atom_site_fract_z
Hf1 0.000 0.000 0.355
Fe1 0.500 0.500 0.500
Hf2 0.500 0.500 0.848
Tc1 0.000 0.000 0.000
Hf3 0.000 0.000 0.645
Hf4 0.500 0.500 0.152
# - E_form (kJ/mol of formula units) = -125
# - relative energy among the computed polymorphs (eV per atom) = 0.000
# - SG = No. 123